An optimized crystal structure of MgNiHg2. Source: Alexandria, functional GGA-PBE.

Values from the calculation:
As for the symmetry: P4/mmm. As for the formation energy: 0.028 eV/atom. The electronic total energy is -0.0723 hartree per atom.

The structure in CIF format:
```
data_MgNiHg2
_cell_length_a 4.3317
_cell_length_b 4.3317
_cell_length_c 3.8433
_cell_angle_alpha 90.00
_cell_angle_beta 90.00
_cell_angle_gamma 90.00
_space_group_name_H-M_alt 'P 1'
_space_group_IT_number 1
loop_
_space_group_symop_operation_xyz
'x,y,z'
loop_
_atom_site_label
_atom_site_type_symbol
_atom_site_fract_x
_atom_site_fract_y
_atom_site_fract_z
Mg1 Mg 0.0000 0.0000 0.0000
Ni1 Ni 0.5000 0.5000 0.0000
Hg1 Hg 0.0000 0.5000 0.5000
Hg2 Hg 0.5000 0.0000 0.5000
```

An optimized crystal structure of MgNi2Hg. Source: Alexandria, functional GGA-PBE.

Values from the calculation:
As for the symmetry: F-43m. As for the formation energy: 0.052 eV/atom. The electronic total energy is -0.1217 hartree per atom.

The structure in CIF format:
```
data_MgNi2Hg
_cell_length_a 4.3870
_cell_length_b 4.3870
_cell_length_c 4.3870
_cell_angle_alpha 60.00
_cell_angle_beta 60.00
_cell_angle_gamma 60.00
_space_group_name_H-M_alt 'P 1'
_space_group_IT_number 1
loop_
_space_group_symop_operation_xyz
'x,y,z'
loop_
_atom_site_label
_atom_site_type_symbol
_atom_site_fract_x
_atom_site_fract_y
_atom_site_fract_z
Mg1 Mg 0.0000 0.0000 0.0000
Ni1 Ni 0.5000 0.5000 0.5000
Ni2 Ni 0.7500 0.7500 0.7500
Hg1 Hg 0.2500 0.2500 0.2500
```

An optimized crystal structure of MgNiHg2. Source: Alexandria, functional GGA-PBE.

Values from the calculation:
As for the symmetry: C2/m. As for the formation energy: 0.062 eV/atom. The electronic total energy is -0.0710 hartree per atom.

The structure in CIF format:
```
data_MgNiHg2
_cell_length_a 4.9231
_cell_length_b 4.9231
_cell_length_c 5.0824
_cell_angle_alpha 105.18
_cell_angle_beta 105.18
_cell_angle_gamma 39.73
_space_group_name_H-M_alt 'P 1'
_space_group_IT_number 1
loop_
_space_group_symop_operation_xyz
'x,y,z'
loop_
_atom_site_label
_atom_site_type_symbol
_atom_site_fract_x
_atom_site_fract_y
_atom_site_fract_z
Mg1 Mg 0.0000 0.0000 0.0000
Ni1 Ni 0.5000 0.5000 0.5000
Hg1 Hg 0.2342 0.2342 0.7308
Hg2 Hg 0.7658 0.7658 0.2692
```

An optimized crystal structure of MgNiHg2. Source: Alexandria, functional GGA-PBE.

Values from the calculation:
As for the symmetry: F-43m. As for the formation energy: 0.099 eV/atom. The electronic total energy is -0.0697 hartree per atom.

The structure in CIF format:
```
data_MgNiHg2
_cell_length_a 4.6976
_cell_length_b 4.6976
_cell_length_c 4.6976
_cell_angle_alpha 60.00
_cell_angle_beta 60.00
_cell_angle_gamma 60.00
_space_group_name_H-M_alt 'P 1'
_space_group_IT_number 1
loop_
_space_group_symop_operation_xyz
'x,y,z'
loop_
_atom_site_label
_atom_site_type_symbol
_atom_site_fract_x
_atom_site_fract_y
_atom_site_fract_z
Mg1 Mg 0.0000 0.0000 0.0000
Ni1 Ni 0.2500 0.2500 0.2500
Hg1 Hg 0.5000 0.5000 0.5000
Hg2 Hg 0.7500 0.7500 0.7500
```